[1]
Cd6Hg4Pb: relaxed, GGA-PBE.

Results
The calculation puts the calculated formation energy at 72.2 meV/atom. As for the energy above the most stable polymorph in this dataset: 0.0403 eV/atom.

```
11
Lattice="8.2132 -1.1828 -1.7395 -4.8462 6.7357 1.7395 -4.8462 -0.8588 6.9035" Properties=species:S:1:pos:R:3 pbc="T T T"
Cd -6.3104 2.0157 6.8583
Cd 3.2258 0.0307 0.0452
Cd 1.6835 -1.0208 2.5820
Cd -1.7765 2.8878 4.2470
Cd -6.3104 5.6369 4.3960
Cd 1.6835 2.7765 0.0000
Hg 0.4157 1.8350 2.6987
Hg -3.4113 3.7786 1.8791
Hg -3.4113 0.3583 4.2048
Hg -4.7647 4.5992 6.7639
Pb 0.0000 0.0000 0.0000
```

=====

[2]
AlSiNi3: relaxed, GGA-PBE.

Results
The uncorrected formation energy comes out at -0.4696 eV per atom. As for the energy above the most stable polymorph in this dataset: 0.0834 eV/atom.

```
15
Lattice="-5.5884 0.4133 -0.0353 -0.1803 -1.9911 5.2350 0.3736 5.2218 1.9990" Properties=species:S:1:pos:R:3 pbc="T T T"
Si 0.1868 2.6109 0.9995
Si -0.0902 -0.9956 2.6175
Si -2.7942 0.2067 -0.0177
Al 0.0966 1.6153 3.6170
Al -2.8844 -0.7889 2.5999
Al -2.6074 2.8176 0.9818
Ni -1.1589 2.5718 5.5339
Ni -1.2618 0.8522 1.6836
Ni -4.1334 2.7918 5.5151
Ni -2.6976 1.8220 3.5993
Ni -4.0374 3.8516 2.7287
Ni -4.3323 0.0124 4.4511
Ni -1.0629 3.6316 2.7475
Ni -4.2363 1.0722 1.6648
Ni -1.3578 -0.2076 4.4699
```

=====

[3]
Th6OsC4: relaxed, GGA-PBE.

Results
The calculation puts the calculated formation energy at -304.2 meV/atom.

```
22
Lattice="3.8049 0.0000 0.0000 -1.9025 6.2471 0.0000 0.0000 0.0000 19.4418" Properties=species:S:1:pos:R:3 pbc="T T T"
Th 1.9025 0.0000 0.0000
Th 1.9025 3.4702 8.1471
Th 0.0000 4.2075 4.8604
Th 1.9025 3.4702 1.5738
Th 1.9025 5.6283 16.4004
Th 0.0000 2.7769 17.8679
Th 1.9025 2.0396 14.5813
Th 0.0000 0.6188 6.6795
Th 1.9025 5.6283 12.7623
Th 0.0000 0.6188 3.0414
Th 1.9025 0.0000 9.7209
Th 0.0000 2.7769 11.2947
C 0.0000 1.7752 0.7925
C 0.0000 1.7752 8.9283
C 0.0000 5.1751 2.4440
C 1.9025 1.0720 16.9978
C 1.9025 1.0720 12.1649
C 0.0000 5.1751 7.2769
C 1.9025 4.4719 10.5134
C 1.9025 4.4719 18.6492
Os 0.0000 4.1653 14.5813
Os 1.9025 2.0818 4.8604
```

=====

[4]
UTe2Pd: relaxed, GGA-PBE.

Results
The uncorrected formation energy comes out at -0.5308 eV per atom. As for the energy above the most stable polymorph in this dataset: 0.0115 eV/atom.

```
4
Lattice="-1.3028 1.6500 -3.5618 -1.4343 -3.5026 -1.0979 -3.5205 4.1143 5.5932" Properties=species:S:1:pos:R:3 pbc="T T T"
Pd -1.7677 0.2616 -0.4328
Te -3.2073 -0.6480 -2.7289
Te -4.2963 0.9133 0.7919
U -4.0126 2.1192 3.6482
```

=====

[5]
GeTeF3: relaxed, GGA-PBE.

Results
The uncorrected formation energy comes out at -1.7277 eV per atom. As for the energy above the most stable polymorph in this dataset: 0.0000 eV/atom.

```
10
Lattice="-4.7419 1.4020 -0.7055 -3.3765 -5.4058 -0.9174 -0.9235 -2.0963 6.2528" Properties=species:S:1:pos:R:3 pbc="T T T"
F -7.6329 -4.6297 3.0546
F -6.0942 -1.4391 -0.7454
F -4.4171 -2.8302 0.8460
F -6.9729 -2.6716 1.4187
F -4.7776 -5.2942 2.0107
F -5.3140 -5.4702 4.5940
Te -4.0608 -2.1220 3.7753
Te -4.0528 0.3986 0.0606
Ge -4.0456 -4.7177 3.5068
Ge -5.9230 -3.0604 -0.0369
```

=====

[6]
Na12Tl6Rh: relaxed, GGA-PBE.

Results
The calculation puts the calculated formation energy at -66.0 meV/atom.

```
19
Lattice="-5.8694 5.3619 -1.8595 -3.5212 -5.1667 -5.2501 -4.9901 -2.9624 5.7429" Properties=species:S:1:pos:R:3 pbc="T T T"
Rh 0.0000 0.0000 0.0000
Tl -4.6169 -4.0983 -2.6960
Tl -8.6799 -1.3428 -4.6611
Tl -8.4610 -5.1654 0.7748
Tl -9.7638 1.3311 1.3293
Tl -5.7008 -1.4244 3.2944
Tl -5.9197 2.3982 -2.1415
Na -11.4071 -4.1423 -1.3231
Na -5.6329 -3.1148 0.4140
Na -6.3820 0.6525 0.6687
Na -8.7478 0.3476 -1.7807
Na -5.7457 -0.9553 -2.7706
Na -2.5215 -1.6385 1.3009
Na -2.2859 -1.2338 -1.9968
Na -11.8592 -1.1287 -2.6676
Na -8.6350 -1.8119 1.4039
Na -2.9736 1.3751 -0.0436
Na -12.0948 -1.5334 0.6301
Na -7.9987 -3.4197 -2.0353
```

=====

[7]
Y6Mg5Pb: relaxed, GGA-PBE.

Results
The calculation puts the calculated formation energy at -199.6 meV/atom.

```
12
Lattice="5.1077 -0.0303 1.7022 0.0403 7.5409 0.0134 -0.0085 -0.0152 8.5400" Properties=species:S:1:pos:R:3 pbc="T T T"
Y 4.2757 5.5926 4.2991
Y 2.5640 1.8861 0.8545
Y 0.8836 5.6078 5.9631
Y 0.8638 1.9028 5.9565
Y 4.2559 1.8876 4.2925
Y 2.5840 5.6245 0.8611
Mg 1.6694 -0.0152 3.5050
Mg 0.0201 3.7704 0.0067
Mg 1.7265 3.7553 3.4008
Mg 3.4130 3.7401 6.8547
Mg 3.4298 -0.0303 6.7371
Pb 0.0000 0.0000 0.0000
```

=====

[8]
HoPu3Pb4: relaxed, GGA-PBE.

Results
The calculation puts the calculated formation energy at -225.9 meV/atom.

```
8
Lattice="-1.4171 -0.4620 -4.4124 -1.3934 -4.5857 0.9276 -8.9300 3.2254 2.5302" Properties=species:S:1:pos:R:3 pbc="T T T"
Pb 0.0000 0.0000 0.0000
Pb -2.8970 -1.4981 1.0873
Pb -7.4264 0.1378 2.3706
Pb -4.4650 1.6127 1.2651
Pu -3.0151 0.6021 -1.5526
Pu -5.8703 -0.9111 -0.4773
Pu -7.3319 2.1613 -0.3295
Ho -1.4053 -2.5238 -1.7424
```

=====

[9]
LiTe2Se: relaxed, GGA-PBE.

Results
The uncorrected formation energy comes out at -0.0658 eV per atom.

```
4
Lattice="3.9903 0.0000 0.0000 0.0000 3.9907 0.0000 0.0000 0.0000 6.2337" Properties=species:S:1:pos:R:3 pbc="T T T"
Se 1.9951 1.9954 4.6753
Li 1.9951 1.9954 1.5584
Te 0.0000 0.0000 0.1645
Te 0.0000 0.0000 2.9523
```

=====

[10]
Pr4CoPt: relaxed, GGA-PBE.

Results
The calculation puts the calculated formation energy at -356.3 meV/atom. As for the energy above the most stable polymorph in this dataset: 0.0000 eV/atom.

```
12
Lattice="6.9830 0.0335 0.0000 -1.1828 7.0870 0.0000 -2.9001 -3.5603 7.1567" Properties=species:S:1:pos:R:3 pbc="T T T"
Pr 3.6781 -1.1650 3.1372
Pr -0.8550 5.3447 0.4228
Pr 3.1637 1.7591 0.4228
Pr -0.7780 4.7253 4.0195
Pr 3.7551 -1.7845 6.7339
Pr 3.0867 2.3785 4.0195
Pr -0.2636 1.8012 6.7339
Pr -0.1866 1.1817 3.1372
Pt 1.7457 0.0084 5.3536
Pt 1.1544 3.5519 1.8031
Co 5.2372 0.0251 1.3334
Co -2.3371 3.5352 5.8232
```

=====

[11]
Zn2SbTe: relaxed, GGA-PBE.

Results
The uncorrected formation energy comes out at -0.1324 eV per atom.

```
8
Lattice="6.2097 0.0000 0.0000 0.0000 6.2097 0.0000 3.1049 3.1049 6.0424" Properties=species:S:1:pos:R:3 pbc="T T T"
Sb 3.1049 3.1049 0.0000
Sb 3.1049 6.2097 3.0212
Zn 1.5786 4.6573 1.5106
Zn 4.6311 1.5524 1.5106
Zn 7.7621 7.7359 4.5318
Zn 4.6573 4.6835 4.5318
Te 6.2097 3.1049 3.0212
Te 0.0000 0.0000 0.0000
```

=====

[12]
Ce8Pt2Rh: relaxed, GGA-PBE.

Results
The calculation puts the calculated formation energy at -469.8 meV/atom.

```
11
Lattice="-4.3401 -2.5103 1.3580 1.9776 -5.0573 -3.0285 5.0950 0.6830 7.6113" Properties=species:S:1:pos:R:3 pbc="T T T"
Ce 0.9439 -5.2401 3.2643
Ce 1.9541 -0.5139 5.2952
Ce 1.6360 -3.9868 -2.1412
Ce 0.7785 -6.3708 0.6456
Ce 1.0965 -2.8978 8.0821
Ce 3.4830 -3.2378 5.1461
Ce -0.7504 -3.6468 0.7947
Ce 1.7887 -1.6445 2.6766
Pt 0.4717 -3.2971 5.3470
Pt 2.2609 -3.5875 0.5938
Rh -2.1700 -1.2552 0.6790
```